Density functional theory data (PBE) for a relaxed Sr2Ac2Cd crystal.

Properties
Uncorrected energy ... -2.6079 eV per atom
N(E_F) ... 12.91 states/eV per cell
Calculated formation energy ... -0.109 eV/atom
Crystal system ... tetragonal

Geometry as CIF:
```
data_Sr2Ac2Cd
_cell_length_a 4.0355
_cell_length_b 4.0355
_cell_length_c 25.9316
_cell_angle_alpha 90.00
_cell_angle_beta 90.00
_cell_angle_gamma 90.00
_space_group_name_H-M_alt 'I 4/m m m'
_space_group_IT_number 139
_space_group_name_Hall '-I 4 2'
loop_
_atom_site_label
_atom_site_type_symbol
_atom_site_fract_x
_atom_site_fract_y
_atom_site_fract_z
Sr1 Sr 0.0000 0.0000 0.0782
Ac1 Ac 0.0000 0.0000 0.3011
Cd1 Cd 0.0000 0.0000 0.5000
```